Entry 1:
The following is a PBE calculation of a relaxed ZrAlRe2Si crystal, from Alexandria via LeMat-Bulk.

Cell and atoms, written as extended XYZ:
```
5
Lattice="4.509 0.000 0.000 0.000 4.402 0.000 0.000 0.000 4.509" Properties=species:S:1:pos:R:3 pbc="T T T"
Si 0.000 0.000 0.000
Zr 2.255 2.201 2.255
Re 2.255 0.000 0.000
Al 0.000 2.201 0.000
Re 0.000 0.000 2.255
```

Values from the calculation:
**Symmetry**: P4/mmm
**Energy relative to the elements, uncorrected**: 639 meV per atom
**Crystal system**: tetragonal

---

Entry 2:
The following is a PBE calculation of a relaxed Sm2AlRe3 crystal, from Alexandria via LeMat-Bulk.

Cell and atoms, written as extended XYZ:
```
6
Lattice="-2.200 -1.688 -4.618 5.200 1.398 0.155 0.869 -3.682 4.073" Properties=species:S:1:pos:R:3 pbc="T T T"
Re 1.935 -1.986 -0.195
Re -0.665 -2.685 -0.273
Re 0.434 -1.841 2.036
Sm 0.418 -1.242 -2.888
Al 0.000 0.000 0.000
Sm 3.451 -2.730 2.497
```

Values from the calculation:
**Symmetry**: R-3m
**Crystal system**: trigonal

---

Entry 3:
The following is a PBE calculation of a relaxed SmAl3Re crystal, from Alexandria via LeMat-Bulk.

Cell and atoms, written as extended XYZ:
```
5
Lattice="4.770 0.000 0.000 0.000 4.770 0.000 0.000 0.000 4.770" Properties=species:S:1:pos:R:3 pbc="T T T"
Sm 2.385 2.385 2.385
Al 0.000 2.385 0.000
Re 0.000 0.000 0.000
Al 0.000 0.000 2.385
Al 2.385 0.000 0.000
```

Values from the calculation:
**Symmetry**: Pm-3m
**Crystal system**: cubic

---

Entry 4:
The following is a PBE calculation of a relaxed Sm2Al3Re crystal, from Alexandria via LeMat-Bulk.

Cell and atoms, written as extended XYZ:
```
6
Lattice="4.966 -0.152 -2.621 -3.156 4.642 -0.230 -0.280 0.082 5.486" Properties=species:S:1:pos:R:3 pbc="T T T"
Sm 2.489 1.624 -1.398
Sm -0.959 2.948 4.033
Re 0.000 0.000 0.000
Al -0.140 0.041 2.743
Al 0.765 2.286 1.318
Al 2.343 -0.035 1.433
```

Values from the calculation:
**Symmetry**: R-3m
**Crystal system**: trigonal

---

Number 1: total moment 0.00 μB/f.u., DFT total energy -7.88 eV/atom, V 89.5 Å³/cell. Number 2: total moment 0.00 μB/f.u., DFT total energy -8.63 eV/atom, V 115.8 Å³/cell. Number 3: total moment 0.00 μB/f.u., DFT total energy -5.85 eV/atom, V 108.5 Å³/cell. Number 4: total moment 0.00 μB/f.u., DFT total energy -5.88 eV/atom, V 121.2 Å³/cell.